Record 1
First-principles (PBE-GGA) data for a relaxed structure of CaAcGa3, as listed in Alexandria.

```
data_CaAcGa3
_cell_length_a 4.588
_cell_length_b 26.545
_cell_length_c 4.374
_cell_angle_alpha 90.00
_cell_angle_beta 90.00
_cell_angle_gamma 90.00
_space_group_name_H-M_alt 'C m c m'
_space_group_IT_number 63
_space_group_name_Hall '-C 2c 2'
loop_
_atom_site_label
_atom_site_fract_x
_atom_site_fract_y
_atom_site_fract_z
Ca1 0.000 0.205 0.250
Ac1 0.000 0.073 0.750
Ga1 0.000 0.327 0.250
Ga2 0.000 0.379 0.750
Ga3 0.000 0.476 0.750
```

Record 2
First-principles (PBE-GGA) data for a relaxed structure of Ca3Ac3Ga4, as listed in Alexandria.

```
data_Ca3Ac3Ga4
_cell_length_a 4.723
_cell_length_b 11.563
_cell_length_c 11.547
_cell_angle_alpha 90.00
_cell_angle_beta 90.00
_cell_angle_gamma 90.00
_space_group_name_H-M_alt 'A m m 2'
_space_group_IT_number 38
loop_
_space_group_symop_operation_xyz
'x,y,z'
'-x,-y,z'
'-x,y,z'
'x,-y,z'
'x,y+1/2,z+1/2'
'-x,-y+1/2,z+1/2'
'-x,y+1/2,z+1/2'
'x,-y+1/2,z+1/2'
loop_
_atom_site_label
_atom_site_fract_x
_atom_site_fract_y
_atom_site_fract_z
Ca1 0.000 0.000 0.000
Ca2 0.500 0.246 0.072
Ac1 0.000 0.000 0.653
Ac2 0.000 0.174 0.321
Ga1 0.500 0.000 0.206
Ga2 0.500 0.000 0.442
Ga3 0.500 0.112 0.829
```

Record 3
First-principles (PBE-GGA) data for a relaxed structure of Ca3AcGa, as listed in Alexandria.

```
data_Ca3AcGa
_cell_length_a 12.725
_cell_length_b 9.497
_cell_length_c 8.498
_cell_angle_alpha 90.00
_cell_angle_beta 129.60
_cell_angle_gamma 90.00
_space_group_name_H-M_alt 'C 1 2/m 1'
_space_group_IT_number 12
loop_
_space_group_symop_operation_xyz
'x,y,z'
'-x,-y,-z'
'-x,y,-z'
'x,-y,z'
'x+1/2,y+1/2,z'
'-x+1/2,-y+1/2,-z'
'-x+1/2,y+1/2,-z'
'x+1/2,-y+1/2,z'
loop_
_atom_site_label
_atom_site_fract_x
_atom_site_fract_y
_atom_site_fract_z
Ca1 0.042 0.000 0.327
Ca2 0.233 0.304 0.780
Ac1 0.070 0.500 0.267
Ga1 0.241 0.500 0.107
```

Record 4
# Ca2AcGa PBE-GGA relaxed
data_Ca2AcGa
_cell_length_a 3.716
_cell_length_b 3.716
_cell_length_c 9.874
_cell_angle_alpha 90.00
_cell_angle_beta 90.00
_cell_angle_gamma 90.00
_space_group_name_H-M_alt 'P 4/m m m'
_space_group_IT_number 123
_space_group_name_Hall '-P 4 2'
loop_
_atom_site_label
_atom_site_fract_x
_atom_site_fract_y
_atom_site_fract_z
Ca1 0.000 0.000 0.186
Ac1 0.500 0.500 0.500
Ga1 0.500 0.500 0.000
# excess energy over the best structure of this formula in the dataset	0.0399	eV per atom

Record 5
# CaAc3Ga2 PBE-GGA relaxed
data_CaAc3Ga2
_cell_length_a 5.509
_cell_length_b 10.136
_cell_length_c 7.202
_cell_angle_alpha 90.00
_cell_angle_beta 90.00
_cell_angle_gamma 90.00
_space_group_name_H-M_alt 'P m c 21'
_space_group_IT_number 26
loop_
_space_group_symop_operation_xyz
'x,y,z'
'-x,-y,z+1/2'
'-x,y,z'
'x,-y,z+1/2'
loop_
_atom_site_label
_atom_site_fract_x
_atom_site_fract_y
_atom_site_fract_z
Ca1 0.000 0.057 0.000
Ac1 0.000 0.322 0.662
Ac2 0.500 0.162 0.304
Ac3 0.500 0.445 0.979
Ga1 0.000 0.346 0.199
Ga2 0.500 0.154 0.772
# excess energy over the best structure of this formula in the dataset	0.0000	eV per atom

Record 6
# CaAc2Ga2 PBE-GGA relaxed
data_CaAc2Ga2
_cell_length_a 8.243
_cell_length_b 8.243
_cell_length_c 4.751
_cell_angle_alpha 90.00
_cell_angle_beta 90.00
_cell_angle_gamma 90.00
_space_group_name_H-M_alt 'P 4/m b m'
_space_group_IT_number 127
_space_group_name_Hall '-P 4 2ab'
loop_
_atom_site_label
_atom_site_fract_x
_atom_site_fract_y
_atom_site_fract_z
Ca1 0.000 0.000 0.000
Ac1 0.175 0.325 0.500
Ga1 0.115 0.615 0.000
# excess energy over the best structure of this formula in the dataset	0.0000	eV per atom

Computed density (g cm⁻³) in order:
5.938, 5.689, 3.500, 4.589, 7.106, 6.516
Computed total DFT energy (no corrections) (eV per atom) in order:
-3.6073, -3.4443, -2.7311, -2.9735, -3.7105, -3.6741
Computed DFT formation energy (meV per atom) in order:
-569, -401, -103, -189, -314, -420